1.
DFT (GGA-PBE) results for a relaxed structure of PuZn2InO6.

Lattice parameters (Å, degrees): 5.507 5.454 8.266 90.00 89.24 90.00
Last column: magnetic moment on the atom in μB.
Sites, in units of the cell vectors:
Zn (0.475, 0.483, 0.248)  0.00
O (0.851, 0.173, 0.075)  -0.09
Zn (0.975, 0.017, 0.748)  0.00
Zn (0.525, 0.517, 0.752)  0.00
O (0.127, 0.621, 0.254)  -0.03
In (0.000, 0.500, 0.500)  0.01
O (0.164, 0.838, 0.575)  -0.08
O (0.351, 0.327, 0.575)  -0.09
O (0.149, 0.827, 0.925)  -0.09
O (0.649, 0.673, 0.425)  -0.09
Zn (0.025, 0.983, 0.252)  0.00
O (0.664, 0.662, 0.075)  -0.08
O (0.336, 0.338, 0.925)  -0.08
O (0.627, 0.879, 0.754)  -0.03
O (0.873, 0.379, 0.746)  -0.03
Pu (0.000, 0.500, 0.000)  3.40
O (0.836, 0.162, 0.425)  -0.08
O (0.373, 0.121, 0.246)  -0.03
Pu (0.500, 0.000, 0.500)  3.40
In (0.500, 0.000, 0.000)  0.01

Calculated volume in Å³ per cell: 248.26
Density in Mg/m³: 7.8
Formation energy (no corrections) in eV/atom: -1.83
Uncorrected energy in eV/atom: -6.766

---

2.
DFT (GGA-PBE) results for a relaxed structure of PuZn2InO8.

Lattice parameters (Å, degrees): 5.877 5.877 5.877 111.23 111.23 106.02
Last column: magnetic moment on the atom in μB.
Sites, in units of the cell vectors:
In (0.000, 0.000, 0.000)  0.00
O (0.301, 0.095, 0.794)  0.06
O (0.721, 0.039, 0.682)  0.27
O (0.301, 0.507, 0.206)  0.06
Zn (0.500, 0.500, 0.000)  0.01
O (0.493, 0.699, 0.794)  0.06
O (0.356, 0.039, 0.318)  0.27
Pu (0.250, 0.750, 0.500)  -0.66
O (0.905, 0.699, 0.206)  0.06
O (0.961, 0.279, 0.318)  0.27
O (0.961, 0.644, 0.682)  0.27
Zn (0.750, 0.250, 0.500)  0.09

Calculated volume in Å³ per cell: 155.84
Density in Mg/m³: 6.6
Formation energy (no corrections) in eV/atom: -1.31
Uncorrected energy in eV/atom: -6.246

---

3.
DFT (GGA-PBE) results for a relaxed structure of PuZrInO6.

Lattice parameters (Å, degrees): 5.592 5.592 9.161 90.00 90.00 120.00
Last column: magnetic moment on the atom in μB.
Sites, in units of the cell vectors:
O (0.999, 0.340, 0.632)  -0.06
O (0.340, 0.999, 0.132)  -0.06
Pu (0.333, 0.667, 0.750)  3.35
In (0.000, 0.000, 0.500)  0.02
O (0.658, 0.999, 0.368)  -0.06
Pu (0.667, 0.333, 0.250)  3.35
O (0.658, 0.660, 0.132)  -0.06
O (0.001, 0.660, 0.368)  -0.06
O (0.001, 0.342, 0.132)  -0.06
O (0.342, 0.340, 0.868)  -0.06
O (0.660, 0.658, 0.632)  -0.06
O (0.660, 0.001, 0.868)  -0.06
Zr (0.667, 0.333, 0.750)  0.02
O (0.340, 0.342, 0.368)  -0.06
O (0.342, 0.001, 0.632)  -0.06
O (0.999, 0.658, 0.868)  -0.06
In (0.000, 0.000, 0.000)  0.02
Zr (0.333, 0.667, 0.250)  0.02

Calculated volume in Å³ per cell: 248.14
Density in Mg/m³: 7.3
Formation energy (no corrections) in eV/atom: -2.48
Uncorrected energy in eV/atom: -8.633

---

4.
DFT (GGA-PBE) results for a relaxed structure of Rb3InO3.

Lattice parameters (Å, degrees): 7.222 7.836 11.596 94.36 90.00 90.00
Last column: magnetic moment on the atom in μB.
Sites, in units of the cell vectors:
In (0.089, 0.840, 0.432)  0.00
Rb (0.627, 0.941, 0.343)  0.00
In (0.911, 0.160, 0.568)  0.00
Rb (0.873, 0.941, 0.843)  0.00
Rb (0.169, 0.355, 0.924)  0.00
Rb (0.127, 0.059, 0.157)  0.00
Rb (0.831, 0.645, 0.076)  0.00
O (0.148, 0.746, 0.958)  0.06
O (0.048, 0.109, 0.403)  0.00
Rb (0.190, 0.629, 0.691)  0.00
O (0.452, 0.109, 0.903)  0.00
O (0.548, 0.891, 0.097)  0.00
O (0.556, 0.699, 0.805)  0.07
Rb (0.669, 0.645, 0.576)  0.00
O (0.952, 0.891, 0.597)  0.00
Rb (0.810, 0.371, 0.309)  0.00
In (0.411, 0.840, 0.932)  0.00
O (0.648, 0.254, 0.542)  0.06
O (0.944, 0.699, 0.305)  0.07
O (0.444, 0.301, 0.195)  0.07
O (0.352, 0.746, 0.458)  0.06
O (0.852, 0.254, 0.042)  0.06
Rb (0.373, 0.059, 0.657)  0.00
Rb (0.690, 0.371, 0.809)  0.00
In (0.589, 0.160, 0.068)  0.00
Rb (0.310, 0.629, 0.191)  0.00
O (0.056, 0.301, 0.695)  0.07
Rb (0.331, 0.355, 0.424)  0.00

ΔE to the lowest computed polymorph in eV/f.u.: 0.00
Calculated volume in Å³ per cell: 654.33
Density in Mg/m³: 4.3
Formation energy (no corrections) in eV/atom: -1.35
Uncorrected energy in eV/atom: -4.281